A plane-wave DFT calculation with PBE was carried out for an optimized crystal structure of Rb2GdO4.

Calculated values
uncorrected energy = -5.0413 eV per atom
total magnetization = 3.00 μB per formula unit
crystal system = cubic

a = 7.6123 Å, b = 7.6123 Å, c = 7.6123 Å
α = 120.00°, β = 90.00°, γ = 120.00°
Closest atoms and distances in Å follow each position.
Atoms (fractional coordinates):
1 O 0.1155 0.7689 0.8844  1 Gd 2.15
2 O 0.6344 0.2689 0.3655  1 Gd 2.15
3 Rb 0.3750 0.7500 0.6250  6 O 2.80
4 Rb 0.8750 0.2500 0.6250  6 O 2.80
5 O 0.0966 0.7311 0.3655  1 Gd 2.15
6 Gd 0.7500 0.5000 0.2500  4 O 2.15
7 Gd 0.0000 0.0000 0.0000  4 O 2.15
8 O 0.1156 0.2311 0.8845  1 Gd 2.15
9 Rb 0.3750 0.2500 0.6250  6 O 2.80
10 Rb 0.3750 0.7500 0.1250  6 O 2.80
11 O 0.1155 0.2311 0.3466  1 Gd 2.15
12 O 0.6345 0.2689 0.9034  1 Gd 2.15
13 O 0.6345 0.7311 0.3656  1 Gd 2.15
14 O 0.6534 0.7689 0.8845  1 Gd 2.15